No. 1
Density functional theory data (PBE-GGA) for PrTm2Ga6 after structural relaxation.

```
data_PrTm2Ga6
_symmetry_space_group_name_H-M 'I m m m'
_symmetry_Int_Tables_number 71
_symmetry_space_group_name_Hall '-I 2 2'
_cell_length_a 4.3246
_cell_length_b 7.1049
_cell_length_c 13.0959
_cell_angle_alpha 90.00
_cell_angle_beta 90.00
_cell_angle_gamma 90.00
loop_
_atom_site_label
_atom_site_type_symbol
_atom_site_fract_x
_atom_site_fract_y
_atom_site_fract_z
_atom_site_occupancy
Pr1 Pr 0.0000 0.0000 0.0000 1
Tm1 Tm 0.0000 0.5000 0.1257 1
Ga1 Ga 0.0000 0.1812 0.5000 1
Ga2 Ga 0.0000 0.3034 0.3138 1
```

Properties
Calculated formation energy (meV per atom): -487
Energy above the lowest structure with this stoichiometry (meV per atom): 121

***

No. 2
Density functional theory data (PBE-GGA) for Y2HgSb after structural relaxation.

```
data_Y2HgSb
_symmetry_space_group_name_H-M 'C 1 2/m 1'
_symmetry_Int_Tables_number 12
_cell_length_a 7.2354
_cell_length_b 7.2554
_cell_length_c 4.0189
_cell_angle_alpha 90.00
_cell_angle_beta 90.09
_cell_angle_gamma 90.00
loop_
_symmetry_equiv_pos_as_xyz
'x,y,z'
'-x,-y,-z'
'-x,y,-z'
'x,-y,z'
'x+1/2,y+1/2,z'
'-x+1/2,-y+1/2,-z'
'-x+1/2,y+1/2,-z'
'x+1/2,-y+1/2,z'
loop_
_atom_site_label
_atom_site_type_symbol
_atom_site_fract_x
_atom_site_fract_y
_atom_site_fract_z
_atom_site_occupancy
Y1 Y 0.2500 0.2500 0.0000 1
Hg1 Hg 0.0000 0.0000 0.5000 1
Sb1 Sb 0.0000 0.5000 0.5000 1
```

Properties
Formation energy without anion corrections (eV per formula unit): -2.74
Energy above the lowest structure with this stoichiometry (meV per atom): 102

***

No. 3
Density functional theory data (PBE-GGA) for PmScCu2 after structural relaxation.

```
data_PmScCu2
_symmetry_space_group_name_H-M 'P 4/m m m'
_symmetry_Int_Tables_number 123
_symmetry_space_group_name_Hall '-P 4 2'
_cell_length_a 4.8530
_cell_length_b 4.8530
_cell_length_c 3.3936
_cell_angle_alpha 90.00
_cell_angle_beta 90.00
_cell_angle_gamma 90.00
loop_
_atom_site_label
_atom_site_type_symbol
_atom_site_fract_x
_atom_site_fract_y
_atom_site_fract_z
_atom_site_occupancy
Pm1 Pm 0.0000 0.0000 0.0000 1
Sc1 Sc 0.5000 0.5000 0.0000 1
Cu1 Cu 0.0000 0.5000 0.5000 1
```

Properties
Calculated formation energy (meV per atom): -165
Energy above the lowest structure with this stoichiometry (meV per atom): 44

***

No. 4
Density functional theory data (PBE-GGA) for RbGaPb after structural relaxation.

```
data_RbGaPb
_symmetry_space_group_name_H-M 'I 4 m m'
_symmetry_Int_Tables_number 107
_symmetry_space_group_name_Hall 'I 4 -2'
_cell_length_a 3.7978
_cell_length_b 3.7978
_cell_length_c 14.0660
_cell_angle_alpha 90.00
_cell_angle_beta 90.00
_cell_angle_gamma 90.00
loop_
_atom_site_label
_atom_site_type_symbol
_atom_site_fract_x
_atom_site_fract_y
_atom_site_fract_z
_atom_site_occupancy
Rb1 Rb 0.0000 0.0000 0.0000 1
Ga1 Ga 0.0000 0.0000 0.3191 1
Pb1 Pb 0.0000 0.0000 0.7051 1
```

Properties
Calculated formation energy (meV per atom): -7

***

No. 5
Density functional theory data (PBE-GGA) for AcLaZnSi after structural relaxation.

```
data_AcLaZnSi
_symmetry_space_group_name_H-M 'A m m 2'
_symmetry_Int_Tables_number 38
_cell_length_a 4.2233
_cell_length_b 4.4920
_cell_length_c 11.8009
_cell_angle_alpha 90.00
_cell_angle_beta 90.00
_cell_angle_gamma 90.00
loop_
_symmetry_equiv_pos_as_xyz
'x,y,z'
'-x,-y,z'
'-x,y,z'
'x,-y,z'
'x,y+1/2,z+1/2'
'-x,-y+1/2,z+1/2'
'-x,y+1/2,z+1/2'
'x,-y+1/2,z+1/2'
loop_
_atom_site_label
_atom_site_type_symbol
_atom_site_fract_x
_atom_site_fract_y
_atom_site_fract_z
_atom_site_occupancy
Ac1 Ac 0.0000 0.0000 0.0000 1
La1 La 0.5000 0.0000 0.7120 1
Zn1 Zn 0.5000 0.0000 0.4095 1
Si1 Si 0.0000 0.0000 0.2823 1
```

Properties
Formation energy without anion corrections (eV per formula unit): -1.93
Energy above the lowest structure with this stoichiometry (meV per atom): 0

***

No. 6
Density functional theory data (PBE-GGA) for KBe2BiH after structural relaxation.

```
data_KBe2BiH
_symmetry_space_group_name_H-M 'P 4/m m m'
_symmetry_Int_Tables_number 123
_symmetry_space_group_name_Hall '-P 4 2'
_cell_length_a 5.2612
_cell_length_b 5.2612
_cell_length_c 4.4057
_cell_angle_alpha 90.00
_cell_angle_beta 90.00
_cell_angle_gamma 90.00
loop_
_atom_site_label
_atom_site_type_symbol
_atom_site_fract_x
_atom_site_fract_y
_atom_site_fract_z
_atom_site_occupancy
K1 K 0.0000 0.0000 0.0000 1
Be1 Be 0.0000 0.5000 0.5000 1
Bi1 Bi 0.5000 0.5000 0.5000 1
H1 H 0.5000 0.5000 0.0000 1
```

Properties
Energy above the lowest structure with this stoichiometry (meV per atom): 0